# Sc2TlAu, optimized geometry, DFT GGA-PBE
data_Sc2TlAu
_space_group_name_H-M_alt 'P 1'
_space_group_IT_number 1
_space_group_name_Hall 'P 1'
_cell_length_a 7.659
_cell_length_b 7.659
_cell_length_c 6.344
_cell_angle_alpha 52.86
_cell_angle_beta 52.86
_cell_angle_gamma 90.00
loop_
_atom_site_label
_atom_site_type_symbol
_atom_site_fract_x
_atom_site_fract_y
_atom_site_fract_z
_atom_site_occupancy
Sc1 Sc 0.596 0.125 0.250 1
Sc2 Sc 0.154 0.625 0.250 1
Sc3 Sc 0.375 0.404 0.750 1
Sc4 Sc 0.875 0.846 0.750 1
Tl1 Tl 0.000 0.000 0.000 1
Tl2 Tl 0.750 0.250 0.500 1
Au1 Au 0.500 0.500 0.000 1
Au2 Au 0.250 0.750 0.500 1
# size of the total moment: 0.000 Bohr magnetons per cell
# formation energy: -0.214 eV/atom
# theoretical density: 8421 kg/m3
# N(E_F): 1.34 states/eV/atom
# space-group type: I-42d